Material: VCl3O
Method: DFT, PBE+U
State: optimized geometry

Calculated values
Calculated volume, Å³/atom: 22.60
Uncorrected energy, hartree per atom: -0.1335

```
data_VCl3O
_cell_length_a 4.8348
_cell_length_b 4.8348
_cell_length_c 4.8348
_cell_angle_alpha 90.00
_cell_angle_beta 90.00
_cell_angle_gamma 90.00
_symmetry_space_group_name_H-M 'P m -3 m'
_symmetry_Int_Tables_number 221
_symmetry_space_group_name_Hall '-P 4 2 3'
loop_
_atom_site_label
_atom_site_type_symbol
_atom_site_fract_x
_atom_site_fract_y
_atom_site_fract_z
V1 V 0.0000 0.0000 0.0000
Cl1 Cl 0.0000 0.0000 0.5000
O1 O 0.5000 0.5000 0.5000
```